# 1
The following is a DFT calculation (PBE) of LaPr2Hg after structural relaxation.

Values from the calculation:
The offset from the most stable computed form comes out at 64 kJ/mol of formula units. The final energy is -3.769 eV/atom. Its formation energy is -0.07 eV per atom.

abc: 5.5643 5.5643 5.5643
angles: 60.00 60.00 60.00
Fractional coordinates of all 4 atoms:
Pr  0.7500  0.7500  0.7500
La  0.5000  0.5000  0.5000
Pr  0.2500  0.2500  0.2500
Hg  0.0000  0.0000  0.0000



# 2
The following is a DFT calculation (PBE) of NaPaBrCl4 after structural relaxation.

Values from the calculation:
The final energy is -4.614 eV/atom.

abc: 7.7077 7.7077 11.5401
angles: 67.98 67.98 75.42
Fractional coordinates of all 14 atoms:
Br  0.8806  0.8806  0.9363
Cl  0.1293  0.5748  0.1949
Br  0.1194  0.1194  0.0637
Pa  0.8470  0.8470  0.2050
Cl  0.8469  0.8469  0.4317
Cl  0.6047  0.6047  0.3112
Cl  0.8707  0.4252  0.8051
Cl  0.5748  0.1293  0.1949
Cl  0.1531  0.1531  0.5683
Cl  0.3953  0.3953  0.6888
Cl  0.4252  0.8707  0.8051
Na  0.3710  0.3710  0.3348
Pa  0.1530  0.1530  0.7950
Na  0.6290  0.6290  0.6652



# 3
The following is a DFT calculation (PBE) of Li4WSe after structural relaxation.

Values from the calculation:
The final energy is -3.500 eV/atom.

abc: 5.1242 5.1242 5.1242
angles: 60.00 60.00 60.00
Fractional coordinates of all 6 atoms:
W  0.0000  0.0000  0.0000
Se  0.7500  0.7500  0.7500
Li  0.3729  0.3729  0.8813
Li  0.8813  0.3729  0.3729
Li  0.3729  0.8813  0.3729
Li  0.3729  0.3729  0.3729



# 4
The following is a DFT calculation (PBE) of Sm2RuCl after structural relaxation.

Values from the calculation:
The offset from the most stable computed form comes out at 17 kJ/mol of formula units. The final energy is -6.002 eV/atom.

abc: 3.3990 3.3990 8.0523
angles: 90.00 90.00 90.00
Fractional coordinates of all 4 atoms:
Cl  0.5000  0.5000  0.5000
Ru  0.5000  0.5000  0.0000
Sm  0.0000  0.0000  0.7847
Sm  0.0000  0.0000  0.2153



# 5
The following is a DFT calculation (PBE) of Th3Mg4Pd4 after structural relaxation.

Values from the calculation:
The final energy is -5.074 eV/atom. Its formation energy is -0.58 eV per atom.

abc: 3.9356 8.1557 8.9019
angles: 117.26 102.77 90.00
Fractional coordinates of all 11 atoms:
Mg  0.3246  0.5121  0.6493
Mg  0.6754  0.8628  0.3507
Mg  0.3246  0.1372  0.6493
Pd  0.2417  0.7417  0.4835
Th  0.8868  0.8868  0.7736
Th  0.1132  0.1132  0.2264
Mg  0.6754  0.4879  0.3507
Pd  0.5000  0.2132  0.0000
Th  0.0000  0.5000  0.0000
Pd  0.5000  0.7868  0.0000
Pd  0.7583  0.2583  0.5165



# 6
The following is a DFT calculation (PBE) of TlH3Pd6Pb2 after structural relaxation.

Values from the calculation:
The final energy is -4.414 eV/atom.

abc: 4.0189 4.0189 11.8768
angles: 90.00 90.00 90.00
Fractional coordinates of all 12 atoms:
H  0.0000  0.0000  0.6727
Pb  0.5000  0.5000  0.8588
Pd  0.0000  0.5000  0.3261
Pd  0.0000  0.0000  0.1447
H  0.0000  0.0000  0.0000
Tl  0.5000  0.5000  0.5000
H  0.0000  0.0000  0.3273
Pb  0.5000  0.5000  0.1412
Pd  0.5000  0.0000  0.6739
Pd  0.0000  0.0000  0.8553
Pd  0.5000  0.0000  0.3261
Pd  0.0000  0.5000  0.6739